Material: H11AuC3S3N4O3
Method: DFT, GGA-PBE
State: relaxed

Cell: 13.967 13.967 16.266 Å, 104.18 104.18 20.45°
Sites, in units of the cell vectors:
H 0.649 0.540 0.304
H 0.232 0.482 0.324
N 0.697 0.461 0.820
H 0.669 0.220 0.728
O 0.952 0.103 0.676
H 0.768 0.518 0.676
H 0.958 0.872 0.528
N 0.303 0.539 0.180
H 0.460 0.351 0.196
N 0.461 0.697 0.320
S 0.750 0.539 0.974
H 0.758 0.228 0.473
C 0.704 0.365 0.080
N 0.115 0.283 0.614
H 0.440 0.186 0.284
H 0.518 0.768 0.176
H 0.331 0.780 0.272
O 0.995 0.188 0.595
H 0.958 0.965 0.124
S 0.539 0.750 0.474
H 0.242 0.772 0.527
N 0.283 0.115 0.114
C 0.365 0.704 0.580
S 0.461 0.250 0.526
H 0.814 0.560 0.216
N 0.964 0.888 0.088
N 0.717 0.885 0.886
H 0.819 0.856 0.897
H 0.554 0.476 0.116
H 0.228 0.758 0.973
H 0.764 0.789 0.414
O 0.897 0.048 0.824
H 0.186 0.440 0.784
Au 0.506 0.870 0.908
S 0.141 0.992 0.647
H 0.181 0.144 0.103
C 0.892 0.531 0.652
H 0.965 0.958 0.624
H 0.780 0.331 0.772
H 0.476 0.554 0.616
S 0.740 0.799 0.160
Au 0.130 0.494 0.592
C 0.108 0.469 0.348
O 0.693 0.100 0.283
H 0.872 0.958 0.028
N 0.036 0.112 0.912
O 0.307 0.900 0.717
H 0.211 0.236 0.086
O 0.103 0.952 0.176
N 0.373 0.269 0.815
C 0.531 0.892 0.152
H 0.789 0.764 0.914
O 0.812 0.005 0.905
H 0.144 0.181 0.603
S 0.008 0.859 0.853
O 0.100 0.693 0.783
Au 0.870 0.506 0.408
N 0.627 0.731 0.185
H 0.482 0.232 0.824
H 0.613 0.510 0.056
S 0.799 0.740 0.660
H 0.128 0.042 0.972
H 0.560 0.814 0.716
N 0.269 0.373 0.315
N 0.539 0.303 0.680
S 0.250 0.461 0.026
H 0.490 0.387 0.444
S 0.859 0.008 0.353
H 0.856 0.819 0.397
C 0.469 0.108 0.848
H 0.351 0.460 0.696
C 0.635 0.296 0.420
O 0.005 0.812 0.405
H 0.042 0.035 0.876
N 0.888 0.964 0.588
C 0.639 0.168 0.605
N 0.112 0.036 0.412
H 0.042 0.128 0.472
Au 0.494 0.130 0.092
H 0.446 0.524 0.884
C 0.361 0.832 0.395
O 0.900 0.307 0.217
H 0.236 0.211 0.586
S 0.992 0.141 0.147
H 0.035 0.042 0.376
S 0.201 0.260 0.340
H 0.510 0.613 0.556
O 0.188 0.995 0.095
H 0.524 0.446 0.384
S 0.260 0.201 0.840
N 0.885 0.717 0.386
H 0.772 0.242 0.027
C 0.296 0.635 0.920
N 0.731 0.627 0.685
H 0.220 0.669 0.228
H 0.387 0.490 0.944
C 0.168 0.639 0.105
H 0.540 0.649 0.804
O 0.048 0.897 0.324
C 0.832 0.361 0.895

Computed properties:
As for the raw total energy: -5.560 eV/atom. For the mass density, the calculation gives 2.75 g cm⁻³.